The following is a PBE calculation of AcThRh after structural relaxation, from the Alexandria database.

SG   P3m1 (156)
Relative energy among the computed polymorphs   0.0 meV/atom
Calculated formation energy   -0.4791 eV/atom
DOS(E_F)   2.83 states/eV per cell
V   97.92 Å³/cell

Unit cell a=4.1128 b=4.1128 c=6.6844 alpha=90.00 beta=90.00 gamma=120.00
With the nearest neighbours (Å) after each atom.
Sites, in units of the cell vectors:
Ac: 0.0000 0.0000 0.0000  3 Rh 3.04
Th: 0.3333 0.6667 0.5046  3 Rh 2.79
Rh: 0.6667 0.3333 0.2841  3 Th 2.79, 3 Ac 3.04